1.
Density functional theory data (PBE) for a geometry-optimized InBr2N structure.

Cell lengths 6.850, 6.850, 9.727 Å; angles 90.00, 90.00, 90.00 degrees
Space group I4_1/amd (No. 141, origin choice 2)
Symmetry-distinct sites (fractional):
In1 0.000 0.250 0.375 [4 per cell]
Br1 0.000 0.000 0.000 [8 per cell]
N1 0.000 0.250 0.875 [4 per cell]

## Properties
Total moment = 0.00 μB per cell
ΔE_f (raw) = 0.68 eV per atom

=====

2.
Density functional theory data (PBE) for a geometry-optimized K2LiReNi structure.

Cell lengths 6.147, 6.147, 4.534 Å; angles 90.00, 90.00, 90.00 degrees
Space group P4/mmm (No. 123)
Symmetry-distinct sites (fractional):
K1 0.000 0.500 0.000 [2 per cell]
Li1 0.000 0.000 0.500 [1 per cell]
Re1 0.500 0.500 0.500 [1 per cell]
Ni1 0.500 0.500 0.000 [1 per cell]

## Properties
Total moment = 2.31 μB per cell
DFT formation energy = 1.18 eV/atom

=====

3.
Density functional theory data (PBE) for a geometry-optimized Sn2Hg2Au5 structure.

Cell lengths 14.388, 4.200, 7.171 Å; angles 90.00, 110.42, 90.00 degrees
Space group C2/m (No. 12)
Symmetry-distinct sites (fractional):
Sn1 0.041 0.000 0.238 [4 per cell]
Hg1 0.161 0.500 0.988 [4 per cell]
Au1 0.000 0.500 0.500 [2 per cell]
Au2 0.146 0.000 0.692 [4 per cell]
Au3 0.180 0.500 0.410 [4 per cell]

## Properties
Total moment = 0.00 μB per cell
DFT formation energy = -0.03 eV/atom

=====

4.
Density functional theory data (PBE) for a geometry-optimized La3Zn3Au structure.

Cell lengths 3.798, 4.616, 20.440 Å; angles 90.00, 90.00, 90.00 degrees
Space group Imm2 (No. 44)
Symmetry-distinct sites (fractional):
La1 0.000 0.000 0.000 [2 per cell]
La2 0.000 0.000 0.380 [2 per cell]
La3 0.000 0.500 0.193 [2 per cell]
Zn1 0.000 0.000 0.555 [2 per cell]
Zn2 0.000 0.000 0.831 [2 per cell]
Zn3 0.000 0.500 0.623 [2 per cell]
Au1 0.000 0.500 0.755 [2 per cell]

## Properties
Total moment = 0.00 μB per cell
DFT formation energy = -0.44 eV/atom